First-principles (PBE-GGA) data for crystalline TcAsIr2 at its relaxed geometry, as listed in Alexandria via LeMat-Bulk.

Properties
SG = R3m (160)
ρ = 15.65 g/cm3
energy relative to the elements = 38.9 kJ/mol of formula units

abc: 8.557 8.557 8.557
angles: 19.18 19.18 19.18
Fractional positions:
As 0.750 0.750 0.750
Tc 0.498 0.498 0.498
Ir 0.005 0.005 0.005
Ir 0.248 0.248 0.248